1.
Computed, not measured: a geometry-optimized Ca4Cd2As structure at the PBE level of DFT.

Lattice parameters (Å, degrees): 5.5469 5.5469 8.9326 71.91 71.91 90.00
Last column: nearest neighbours and their distance in Å.
Positions (direct):
As  0.0000  0.0000  0.0000  6 Ca 2.77-2.92
Ca  0.8179  0.8179  0.3641  1 As 2.92, 1 Cd 3.18
Ca  0.1821  0.1821  0.6359  1 As 2.92, 1 Cd 3.18
Ca  0.0000  0.5000  0.0000  2 As 2.77
Ca  0.5000  0.0000  0.0000  2 As 2.77
Cd  0.6199  0.6199  0.7602  5 Ca 3.18-3.38
Cd  0.3801  0.3801  0.2398  5 Ca 3.18-3.38

Results
calculated volume: 247 Å³ per cell
density of states at the Fermi level: 8.30 states/eV/f.u.
formation enthalpy at 0 K: -2.65 eV per formula unit
energy: -2.45 eV/atom

2.
Computed, not measured: a geometry-optimized Ca2CdAs structure at the PBE level of DFT.

Lattice parameters (Å, degrees): 5.6990 5.6990 9.7519 73.01 73.01 90.00
Last column: nearest neighbours and their distance in Å.
Positions (direct):
As  0.5000  0.5000  0.0000  4 Ca 2.89
As  0.2500  0.7500  0.5000  4 Ca 2.89
Ca  0.5841  0.1250  0.2500  2 As 2.89, 2 Cd 3.12
Ca  0.1659  0.6250  0.2500  2 As 2.89, 2 Cd 3.12
Ca  0.3750  0.4159  0.7500  2 As 2.89, 2 Cd 3.12
Ca  0.8750  0.8341  0.7500  2 As 2.89, 2 Cd 3.12
Cd  0.0000  0.0000  0.0000  4 Ca 3.12
Cd  0.7500  0.2500  0.5000  4 Ca 3.12

Results
calculated volume: 288 Å³ per cell
density of states at the Fermi level: 0.74 states/eV/f.u.
formation enthalpy at 0 K: -1.05 eV per formula unit
energy: -2.65 eV/atom

3.
Computed, not measured: a geometry-optimized CaCdAs2 structure at the PBE level of DFT.

Lattice parameters (Å, degrees): 6.1602 6.1602 6.1602 143.60 136.55 57.93
Last column: nearest neighbours and their distance in Å.
Positions (direct):
As  0.9874  0.9874  0.0000  2 As 2.77, 4 Ca 2.98
As  0.8020  0.3020  0.5000  2 As 2.77, 2 Ca 3.08
Ca  0.4946  0.4946  0.0000  6 As 2.98-3.08, 2 Cd 3.30
Cd  0.2160  0.7160  0.5000  6 As 3.12-3.13, 2 Ca 3.30

Results
calculated volume: 95 Å³ per cell
density of states at the Fermi level: 1.55 states/eV/f.u.
formation enthalpy at 0 K: -1.59 eV per formula unit
energy: -3.45 eV/atom

4.
Computed, not measured: a geometry-optimized CaCdAs structure at the PBE level of DFT.

Lattice parameters (Å, degrees): 5.3505 5.8618 9.8609 90.00 90.00 90.00
Last column: nearest neighbours and their distance in Å.
Positions (direct):
Cd  0.5000  0.2398  0.7642  2 Cd 2.81-3.05, 1 As 2.84
Cd  0.0000  0.7398  0.2358  2 Cd 2.81-3.05, 1 As 2.84
Cd  0.5000  0.7602  0.7642  2 Cd 2.81-3.05, 1 As 2.84
Cd  0.0000  0.2602  0.2358  2 Cd 2.81-3.05, 1 As 2.84
As  0.0000  0.5000  0.6263  5 Ca 2.98-3.31
As  0.0000  0.0000  0.9934  4 Ca 2.79-3.00, 2 Cd 2.84
As  0.5000  0.0000  0.3737  5 Ca 2.98-3.31
As  0.5000  0.5000  0.0066  4 Ca 2.79-3.00, 2 Cd 2.84
Ca  0.0000  0.0000  0.5712  4 As 2.98-3.31
Ca  0.0000  0.5000  0.9280  5 As 2.79-3.00
Ca  0.5000  0.0000  0.0720  5 As 2.79-3.00
Ca  0.5000  0.5000  0.4288  4 As 2.98-3.31

Results
calculated volume: 309 Å³ per cell
density of states at the Fermi level: 0.46 states/eV/f.u.
formation enthalpy at 0 K: -1.76 eV per formula unit
energy: -3.11 eV/atom

5.
Computed, not measured: a geometry-optimized CaCd2As structure at the PBE level of DFT.

Lattice parameters (Å, degrees): 3.9865 4.2490 6.2807 70.48 90.00 90.00
Last column: nearest neighbours and their distance in Å.
Positions (direct):
As  0.0000  0.2807  0.5670  3 Cd 2.83-2.85, 4 Ca 2.97
Ca  0.5000  0.7319  0.6653  4 As 2.97, 1 Cd 3.30
Cd  0.0000  0.0377  0.0443  1 As 2.83, 4 Cd 3.10
Cd  0.5000  0.4497  0.2235  2 As 2.85, 4 Cd 3.10

Results
calculated volume: 100 Å³ per cell
density of states at the Fermi level: 1.02 states/eV/f.u.
formation enthalpy at 0 K: -1.85 eV per formula unit
energy: -2.58 eV/atom

6.
Computed, not measured: a geometry-optimized CaCd2As structure at the PBE level of DFT.

Lattice parameters (Å, degrees): 3.7117 4.1105 6.4308 90.00 90.00 90.00
Last column: nearest neighbours and their distance in Å.
Positions (direct):
As  0.0000  0.0000  0.5194  4 Ca 3.04, 6 Cd 3.09-3.34
Ca  0.5000  0.5000  0.7143  4 As 3.04, 2 Cd 3.13-3.30
Cd  0.0000  0.0000  0.0384  4 Cd 3.03, 2 As 3.09-3.34
Cd  0.5000  0.5000  0.2279  4 Cd 3.03, 2 Ca 3.13-3.30, 4 As 3.34

Results
calculated volume: 98 Å³ per cell
density of states at the Fermi level: 1.64 states/eV/f.u.
formation enthalpy at 0 K: -1.21 eV per formula unit
energy: -2.42 eV/atom